Density functional theory data (GGA-PBE) for YZnSnRh2 after structural relaxation.

The value obtained for the total energy is -0.3811 Ry/atom. The calculation puts the total magnetization at 0.00 μB per formula unit.

It has space group P4/mmm (No. 123), with a = 4.702 Å, b = 4.702 Å, c = 4.768 Å, α = 90.00°, β = 90.00° and γ = 90.00°. The distinct sites, in fractional coordinates, are Y at (0.000, 0.000, 0.000), Zn at (0.500, 0.500, 0.500), Sn at (0.500, 0.500, 0.000) and Rh at (0.000, 0.500, 0.500).

***

Density functional theory data (GGA-PBE) for YbSnRh2 after structural relaxation.

The value obtained for the total energy is -0.4280 Ry/atom. The calculation puts the total magnetization at 0.00 μB per formula unit.

It has space group Fm-3m (No. 225), with a = 6.517 Å, b = 6.517 Å, c = 6.517 Å, α = 90.00°, β = 90.00° and γ = 90.00°. The distinct sites, in fractional coordinates, are Yb at (0.000, 0.000, 0.000), Sn at (0.000, 0.000, 0.500) and Rh at (0.250, 0.250, 0.250).

***

Energy of formation from the pure elements, record by record: 0.10; -0.77 eV/atom